The following is a DFT calculation (PBE+U) of a geometry-optimized CoSnSO structure.

Its crystal system is orthorhombic. The energy above the lowest structure with this stoichiometry comes out at 0.0167 eV/atom. Its total DFT energy (no corrections) is -83.68 eV/cell.

Cell lengths 3.769, 13.753, 5.753 Å; angles 90.00, 90.00, 90.00 degrees
Space group Cmc2_1 (No. 36)
Unique sites:
Co1 0.000 0.054 0.000 (multiplicity 4)
Sn1 0.000 0.333 0.094 (multiplicity 4)
S1 0.000 0.362 0.624 (multiplicity 4)
O1 0.000 0.074 0.650 (multiplicity 4)